No. 1
# LaNiO3 (PBE+U, relaxed)
# symmetry: R-3c (167)
# N(E_F): 1.53 states/eV per cell
data_LaNiO3
_chemical_formula_sum 'La2 Ni2 O6'
_space_group_name_H-M_alt 'P 1'
_space_group_IT_number 1
_cell_length_a 6.5999
_cell_length_b 6.5999
_cell_length_c 6.5999
_cell_angle_alpha 51.23
_cell_angle_beta 51.23
_cell_angle_gamma 51.23
loop_
_space_group_symop_operation_xyz
'x,y,z'
loop_
_atom_site_label
_atom_site_fract_x
_atom_site_fract_y
_atom_site_fract_z
La1 0.0000 0.0000 0.0000
La2 0.5000 0.5000 0.5000
Ni1 0.2500 0.2500 0.2500
Ni2 0.7500 0.7500 0.7500
O1 0.0679 0.7500 0.4321
O2 0.2500 0.5679 0.9321
O3 0.4321 0.0679 0.7500
O4 0.5679 0.9321 0.2500
O5 0.7500 0.4321 0.0679
O6 0.9321 0.2500 0.5679



No. 2
# LaNiO3 (PBE+U, relaxed)
# symmetry: I-4m2 (119)
# N(E_F): 0.00 states/eV per cell
data_LaNiO3
_chemical_formula_sum 'La2 Ni2 O6'
_space_group_name_H-M_alt 'P 1'
_space_group_IT_number 1
_cell_length_a 9.1830
_cell_length_b 9.1830
_cell_length_c 9.1830
_cell_angle_alpha 152.16
_cell_angle_beta 152.16
_cell_angle_gamma 39.78
loop_
_space_group_symop_operation_xyz
'x,y,z'
loop_
_atom_site_label
_atom_site_fract_x
_atom_site_fract_y
_atom_site_fract_z
La1 0.0000 0.0000 0.0000
La2 0.7500 0.2500 0.5000
Ni1 0.1804 0.6804 0.5000
Ni2 0.3196 0.8196 0.5000
O1 0.2924 0.2924 0.0000
O2 0.4333 0.0974 0.3358
O3 0.7076 0.7076 0.0000
O4 0.7616 0.0974 0.6642
O5 0.9026 0.2384 0.3358
O6 0.9026 0.5667 0.6642



No. 3
# LaNiO3 (PBE+U, relaxed)
# symmetry: C2/m (12)
# N(E_F): 0.00 states/eV per cell
data_LaNiO3
_chemical_formula_sum 'La2 Ni2 O6'
_space_group_name_H-M_alt 'P 1'
_space_group_IT_number 1
_cell_length_a 6.4836
_cell_length_b 6.4836
_cell_length_c 6.1568
_cell_angle_alpha 105.54
_cell_angle_beta 105.54
_cell_angle_gamma 35.41
loop_
_space_group_symop_operation_xyz
'x,y,z'
loop_
_atom_site_label
_atom_site_fract_x
_atom_site_fract_y
_atom_site_fract_z
La1 0.1276 0.1276 0.3281
La2 0.8724 0.8724 0.6719
Ni1 0.3382 0.3382 0.1059
Ni2 0.6618 0.6618 0.8941
O1 0.1704 0.1704 0.9807
O2 0.3297 0.3297 0.4468
O3 0.4946 0.4946 0.8752
O4 0.5054 0.5054 0.1248
O5 0.6703 0.6703 0.5532
O6 0.8296 0.8296 0.0193



No. 4
# LaNi3O (PBE+U, relaxed)
# symmetry: Pm-3m (221)
# N(E_F): 3.96 states/eV per cell
# energy relative to the lowest polymorph listed for this composition: 0 meV per atom
data_LaNi3O
_chemical_formula_sum 'La1 Ni3 O1'
_space_group_name_H-M_alt 'P 1'
_space_group_IT_number 1
_cell_length_a 4.2489
_cell_length_b 4.2489
_cell_length_c 4.2489
_cell_angle_alpha 90.00
_cell_angle_beta 90.00
_cell_angle_gamma 90.00
loop_
_space_group_symop_operation_xyz
'x,y,z'
loop_
_atom_site_label
_atom_site_fract_x
_atom_site_fract_y
_atom_site_fract_z
La1 0.0000 0.0000 0.0000
Ni1 0.0000 0.5000 0.5000
Ni2 0.5000 0.0000 0.5000
Ni3 0.5000 0.5000 0.0000
O1 0.5000 0.5000 0.5000



No. 5
# La4NiO8 (PBE+U, relaxed)
# symmetry: Cmmm (65)
data_La4NiO8
_chemical_formula_sum 'La4 Ni1 O8'
_space_group_name_H-M_alt 'P 1'
_space_group_IT_number 1
_cell_length_a 6.9036
_cell_length_b 6.9036
_cell_length_c 5.3365
_cell_angle_alpha 90.00
_cell_angle_beta 90.00
_cell_angle_gamma 134.59
loop_
_space_group_symop_operation_xyz
'x,y,z'
loop_
_atom_site_label
_atom_site_fract_x
_atom_site_fract_y
_atom_site_fract_z
La1 0.1326 0.8674 0.0000
La2 0.3661 0.6339 0.5000
La3 0.6339 0.3661 0.5000
La4 0.8674 0.1326 0.0000
Ni1 0.5000 0.5000 0.0000
O1 0.1881 0.8119 0.5000
O2 0.2508 0.2508 0.2378
O3 0.2508 0.2508 0.7622
O4 0.3414 0.6586 0.0000
O5 0.6586 0.3414 0.0000
O6 0.7492 0.7492 0.2378
O7 0.7492 0.7492 0.7622
O8 0.8119 0.1881 0.5000



No. 6
# LaNiO3 (PBE+U, relaxed)
# symmetry: R3m (160)
# N(E_F): 23.56 states/eV per cell
data_LaNiO3
_chemical_formula_sum 'La3 Ni3 O9'
_space_group_name_H-M_alt 'P 1'
_space_group_IT_number 1
_cell_length_a 6.4584
_cell_length_b 6.4584
_cell_length_c 8.7544
_cell_angle_alpha 90.00
_cell_angle_beta 90.00
_cell_angle_gamma 120.00
loop_
_space_group_symop_operation_xyz
'x,y,z'
loop_
_atom_site_label
_atom_site_fract_x
_atom_site_fract_y
_atom_site_fract_z
La1 0.0000 0.0000 0.0000
La2 0.3333 0.6667 0.6667
La3 0.6667 0.3333 0.3333
Ni1 0.0000 0.0000 0.6709
Ni2 0.3333 0.6667 0.3376
Ni3 0.6667 0.3333 0.0042
O1 0.0432 0.5216 0.4343
O2 0.1451 0.2902 0.7676
O3 0.1451 0.8549 0.7676
O4 0.3765 0.1882 0.1010
O5 0.4784 0.5216 0.4343
O6 0.4784 0.9568 0.4343
O7 0.7098 0.8549 0.7676
O8 0.8118 0.1882 0.1010
O9 0.8118 0.6235 0.1010



No. 7
# LaNiO3 (PBE+U, relaxed)
# symmetry: C2/m (12)
# N(E_F): 0.00 states/eV per cell
data_LaNiO3
_chemical_formula_sum 'La2 Ni2 O6'
_space_group_name_H-M_alt 'P 1'
_space_group_IT_number 1
_cell_length_a 7.0717
_cell_length_b 7.0717
_cell_length_c 6.2336
_cell_angle_alpha 90.98
_cell_angle_beta 90.98
_cell_angle_gamma 27.88
loop_
_space_group_symop_operation_xyz
'x,y,z'
loop_
_atom_site_label
_atom_site_fract_x
_atom_site_fract_y
_atom_site_fract_z
La1 0.1927 0.1927 0.2557
La2 0.8073 0.8073 0.7443
Ni1 0.4162 0.4162 0.2742
Ni2 0.5838 0.5838 0.7258
O1 0.0032 0.0032 0.6212
O2 0.1616 0.1616 0.8789
O3 0.3310 0.3310 0.5172
O4 0.6690 0.6690 0.4828
O5 0.8384 0.8384 0.1211
O6 0.9968 0.9968 0.3788



No. 8
# LaNiO3 (PBE+U, relaxed)
# symmetry: C2/c (15)
# N(E_F): 0.00 states/eV per cell
data_LaNiO3
_chemical_formula_sum 'La4 Ni4 O12'
_space_group_name_H-M_alt 'P 1'
_space_group_IT_number 1
_cell_length_a 6.9281
_cell_length_b 6.9281
_cell_length_c 5.8302
_cell_angle_alpha 98.90
_cell_angle_beta 98.90
_cell_angle_gamma 81.53
loop_
_space_group_symop_operation_xyz
'x,y,z'
loop_
_atom_site_label
_atom_site_fract_x
_atom_site_fract_y
_atom_site_fract_z
La1 0.0921 0.3253 0.2590
La2 0.3253 0.0921 0.7590
La3 0.6747 0.9079 0.2410
La4 0.9079 0.6747 0.7410
Ni1 0.2609 0.7391 0.2500
Ni2 0.4247 0.5753 0.7500
Ni3 0.5753 0.4247 0.2500
Ni4 0.7391 0.2609 0.7500
O1 0.0133 0.2499 0.8605
O2 0.1812 0.6133 0.5533
O3 0.2499 0.0133 0.3605
O4 0.3206 0.4760 0.0792
O5 0.3867 0.8188 0.9467
O6 0.4760 0.3206 0.5792
O7 0.5240 0.6794 0.4208
O8 0.6133 0.1812 0.0533
O9 0.6794 0.5240 0.9208
O10 0.7501 0.9867 0.6395
O11 0.8188 0.3867 0.4467
O12 0.9867 0.7501 0.1395



In order of appearance, final energy = -63.06; -57.18; -63.68; -16.62; -97.25; -91.42; -63.24; -129.24 eV per cell.